VASP calculation (PBE-GGA) on a relaxed structure of HfZr2U3N6.

As for the raw formation energy: -150 kJ/mol of atoms.

The space group is C2/m (No. 12) and the conventional cell measures 5.736, 9.939 and 5.887 Å, with angles of 90.00, 108.93 and 90.00 degrees. The inequivalent atoms are Hf at (0.000, 0.000, 0.000), Zr at (0.000, 0.334, 0.000), U at (0.000, 0.168, 0.500), U at (0.000, 0.500, 0.500), N at (0.241, 0.164, 0.233) and N at (0.249, 0.000, 0.766).

***

VASP calculation (PBE-GGA) on a relaxed structure of Hf3Zr2UN6.

As for the raw formation energy: -163 kJ/mol of atoms.

The space group is C2/m (No. 12) and the conventional cell measures 5.637, 9.756 and 5.683 Å, with angles of 90.00, 109.00 and 90.00 degrees. The inequivalent atoms are Hf at (0.000, 0.000, 0.000), Hf at (0.000, 0.328, 0.000), Zr at (0.000, 0.169, 0.500), U at (0.000, 0.500, 0.500), N at (0.243, 0.500, 0.237) and N at (0.247, 0.165, 0.237).

***

VASP calculation (PBE-GGA) on a relaxed structure of HfZr2UN4.

As for the raw formation energy: -158 kJ/mol of atoms.

The space group is P2/m (No. 10) and the conventional cell measures 5.654, 3.293 and 5.750 Å, with angles of 90.00, 109.01 and 90.00 degrees. The inequivalent atoms are Hf at (0.000, 0.000, 0.000), Zr at (0.500, 0.000, 0.500), Zr at (0.500, 0.500, 0.000), U at (0.000, 0.500, 0.500), N at (0.239, 0.500, 0.240) and N at (0.249, 0.000, 0.760).

***

VASP calculation (PBE-GGA) on a relaxed structure of Hf2Zr3UN6.

As for the raw formation energy: -161 kJ/mol of atoms.

The space group is C2/m (No. 12) and the conventional cell measures 5.685, 9.849 and 5.655 Å, with angles of 90.00, 109.51 and 90.00 degrees. The inequivalent atoms are Hf at (0.000, 0.167, 0.000), Zr at (0.000, 0.000, 0.500), Zr at (0.000, 0.329, 0.500), U at (0.000, 0.500, 0.000), N at (0.244, 0.000, 0.241) and N at (0.249, 0.331, 0.240).

***

VASP calculation (PBE-GGA) on a relaxed structure of HfV2N.

As for the raw formation energy: -5 kJ/mol of atoms.

The space group is I-42d (No. 122) and the conventional cell measures 5.786, 5.786 and 7.830 Å, with angles of 90.00, 90.00 and 90.00 degrees. The inequivalent atoms are Hf at (0.000, 0.000, 0.000), V at (0.089, 0.250, 0.625) and N at (0.000, 0.000, 0.500).

***

VASP calculation (PBE-GGA) on a relaxed structure of Hf5VN6.

As for the raw formation energy: -156 kJ/mol of atoms.

The space group is C2/m (No. 12) and the conventional cell measures 5.504, 9.524 and 5.483 Å, with angles of 90.00, 109.41 and 90.00 degrees. The inequivalent atoms are Hf at (0.000, 0.000, 0.000), Hf at (0.000, 0.167, 0.500), Hf at (0.000, 0.338, 0.000), V at (0.000, 0.500, 0.500), N at (0.249, 0.000, 0.748) and N at (0.249, 0.168, 0.249).

***

VASP calculation (PBE-GGA) on a relaxed structure of Hf3VN4.

As for the raw formation energy: -137 kJ/mol of atoms.

The space group is Pmmn (No. 59, origin choice 2) and the conventional cell measures 4.422, 7.359 and 6.374 Å, with angles of 90.00, 90.00 and 90.00 degrees. The inequivalent atoms are Hf at (0.250, 0.000, 0.170), Hf at (0.250, 0.250, 0.649), V at (0.250, 0.750, 0.680), N at (0.250, 0.003, 0.830), N at (0.250, 0.250, 0.321) and N at (0.250, 0.750, 0.349).

***

VASP calculation (PBE-GGA) on a relaxed structure of Hf3V3N.

As for the raw formation energy: -54 kJ/mol of atoms.

The space group is Fd-3m (No. 227, origin choice 2) and the conventional cell measures 12.030, 12.030 and 12.030 Å, with angles of 90.00, 90.00 and 90.00 degrees. The inequivalent atoms are Hf at (0.063, 0.375, 0.375), V at (0.000, 0.000, 0.500), V at (0.047, 0.047, 0.703) and N at (0.000, 0.000, 0.000).

***

VASP calculation (PBE-GGA) on a relaxed structure of HfV2ZnN.

As for the raw formation energy: -57 kJ/mol of atoms.

The space group is P4/mmm (No. 123) and the conventional cell measures 3.941, 3.941 and 4.422 Å, with angles of 90.00, 90.00 and 90.00 degrees. The inequivalent atoms are Hf at (0.000, 0.000, 0.000), V at (0.000, 0.500, 0.500), Zn at (0.500, 0.500, 0.000) and N at (0.000, 0.000, 0.500).

***

VASP calculation (PBE-GGA) on a relaxed structure of HfWN.

As for the raw formation energy: -83 kJ/mol of atoms.

The space group is P2_1/m (No. 11) and the conventional cell measures 3.059, 4.523 and 5.954 Å, with angles of 90.00, 99.79 and 90.00 degrees. The inequivalent atoms are Hf at (0.190, 0.250, 0.356), W at (0.350, 0.250, 0.889) and N at (0.226, 0.750, 0.371).

***

VASP calculation (PBE-GGA) on a relaxed structure of Hf2WN.

As for the raw formation energy: -32 kJ/mol of atoms.

The space group is R-3m (No. 166, hexagonal axes) and the conventional cell measures 3.0507, 3.0507 and 24.3499 Å, with angles of 90.00, 90.00 and 120.00 degrees. The inequivalent atoms are Hf at (0.0000, 0.0000, 0.1116), W at (0.0000, 0.0000, 0.0000) and N at (0.0000, 0.0000, 0.5000).

***

VASP calculation (PBE-GGA) on a relaxed structure of Hf2WN.

As for the raw formation energy: 2 kJ/mol of atoms.

The space group is I-42d (No. 122) and the conventional cell measures 6.276, 6.276 and 7.440 Å, with angles of 90.00, 90.00 and 90.00 degrees. The inequivalent atoms are Hf at (0.156, 0.250, 0.125), W at (0.000, 0.000, 0.500) and N at (0.000, 0.000, 0.000).

***

VASP calculation (PBE-GGA) on a relaxed structure of Hf3WN.

As for the raw formation energy: 184 kJ/mol of atoms.

The space group is Pm-3m (No. 221) and the conventional cell measures 5.021, 5.021 and 5.021 Å, with angles of 90.00, 90.00 and 90.00 degrees. The inequivalent atoms are Hf at (0.000, 0.000, 0.500), W at (0.000, 0.000, 0.000) and N at (0.500, 0.500, 0.500).

***

VASP calculation (PBE-GGA) on a relaxed structure of HfW2N.

As for the raw formation energy: -4 kJ/mol of atoms.

The space group is I-42d (No. 122) and the conventional cell measures 7.174, 7.174 and 4.673 Å, with angles of 90.00, 90.00 and 90.00 degrees. The inequivalent atoms are Hf at (0.000, 0.000, 0.000), W at (0.137, 0.250, 0.625) and N at (0.000, 0.000, 0.500).

***

VASP calculation (PBE-GGA) on a relaxed structure of Hf3WN.

As for the raw formation energy: -61 kJ/mol of atoms.

The space group is Pm-3m (No. 221) and the conventional cell measures 4.411, 4.411 and 4.411 Å, with angles of 90.00, 90.00 and 90.00 degrees. The inequivalent atoms are Hf at (0.000, 0.000, 0.500), W at (0.500, 0.500, 0.500) and N at (0.000, 0.000, 0.000).

***

VASP calculation (PBE-GGA) on a relaxed structure of Hf2WN.

As for the raw formation energy: -17 kJ/mol of atoms.

The space group is P4/mmm (No. 123) and the conventional cell measures 2.820, 2.820 and 7.578 Å, with angles of 90.00, 90.00 and 90.00 degrees. The inequivalent atoms are Hf at (0.000, 0.000, 0.185), W at (0.500, 0.500, 0.500) and N at (0.500, 0.500, 0.000).

***

VASP calculation (PBE-GGA) on a relaxed structure of Hf2ZnWN.

As for the raw formation energy: 81 kJ/mol of atoms.

The space group is P4/mmm (No. 123) and the conventional cell measures 5.263, 5.263 and 3.836 Å, with angles of 90.00, 90.00 and 90.00 degrees. The inequivalent atoms are Hf at (0.000, 0.500, 0.000), Zn at (0.000, 0.000, 0.500), W at (0.500, 0.500, 0.000) and N at (0.500, 0.500, 0.500).

***

VASP calculation (PBE-GGA) on a relaxed structure of Y3HfN4.

As for the raw formation energy: -168 kJ/mol of atoms.

The space group is Cmmm (No. 65) and the conventional cell measures 6.820, 9.600 and 3.390 Å, with angles of 90.00, 90.00 and 90.00 degrees. The inequivalent atoms are Y at (0.000, 0.000, 0.000), Y at (0.250, 0.250, 0.500), Hf at (0.000, 0.500, 0.000), N at (0.000, 0.261, 0.000) and N at (0.232, 0.500, 0.500).

***

VASP calculation (PBE-GGA) on a relaxed structure of YHf3N4.

As for the raw formation energy: -169 kJ/mol of atoms.

The space group is P6_3/mmc (No. 194) and the conventional cell measures 3.2566, 3.2566 and 21.5093 Å, with angles of 90.00, 90.00 and 120.00 degrees. The inequivalent atoms are Y at (0.3333, 0.6667, 0.2500), Hf at (0.0000, 0.0000, 0.0000), Hf at (0.3333, 0.6667, 0.6214), N at (0.0000, 0.0000, 0.1771) and N at (0.3333, 0.6667, 0.0602).

***

VASP calculation (PBE-GGA) on a relaxed structure of Y2Hf2N3.

As for the raw formation energy: -146 kJ/mol of atoms.

The space group is C2/m (No. 12) and the conventional cell measures 11.501, 3.381 and 5.737 Å, with angles of 90.00, 105.98 and 90.00 degrees. The inequivalent atoms are Y at (0.119, 0.000, 0.350), Hf at (0.141, 0.500, 0.848), N at (0.000, 0.500, 0.500) and N at (0.248, 0.000, 0.764).